Record 1
The following is a DFT calculation (PBE) of a relaxed LaAl4Cu2 crystal.

Calculated values
Calculated density in Mg/m³: 4.89
ΔE_f in eV per atom: -0.3203
Polymorph energy (0 for the lowest one) in eV/atom: 0.084

The structure in POSCAR format:
```
LaAl4Cu2
1.0
4.2713 0.0000 0.0000
0.0000 13.9534 0.0000
0.0000 0.0000 4.2601
La Al Cu
2 8 4
direct
0.0000 0.0000 0.0000
0.5000 0.5000 0.0000
0.0000 0.1837 0.5000
0.0000 0.3150 0.0000
0.0000 0.6850 0.0000
0.0000 0.8163 0.5000
0.5000 0.1850 0.0000
0.5000 0.3163 0.5000
0.5000 0.6837 0.5000
0.5000 0.8150 0.0000
0.0000 0.4094 0.5000
0.0000 0.5906 0.5000
0.5000 0.0906 0.5000
0.5000 0.9094 0.5000
```

Record 2
The following is a DFT calculation (PBE) of a relaxed SrBiAsBr2 crystal.

Calculated values
Calculated density in Mg/m³: 4.47
Polymorph energy (0 for the lowest one) in eV/atom: 0.279

The structure in POSCAR format:
```
SrBiAsBr2
1.0
5.5922 0.0000 0.0000
0.0000 5.5922 0.0000
0.0000 0.0000 6.3052
Sr Bi As Br
1 1 1 2
direct
0.0000 0.0000 0.0000
0.5000 0.5000 0.5000
0.0000 0.0000 0.5000
0.0000 0.5000 0.0000
0.5000 0.0000 0.0000
```

Record 3
The following is a DFT calculation (PBE) of a relaxed CsSrNbSe4 crystal.

Calculated values
Calculated density in Mg/m³: 4.12
Total DFT energy (no corrections) in eV per atom: -5.09

The structure in POSCAR format:
```
CsSrNbSe4
1.0
7.2612 0.0000 0.0000
0.0000 7.3422 0.0000
-3.0303 0.0000 9.5051
Cs Sr Nb Se
2 2 2 8
direct
0.2292 0.2500 0.4345
0.7708 0.7500 0.5655
0.2703 0.2500 0.9534
0.7297 0.7500 0.0466
0.2877 0.7500 0.1739
0.7123 0.2500 0.8261
0.0868 0.7500 0.3279
0.0935 0.7500 0.9314
0.4941 0.5085 0.7836
0.4941 0.9915 0.7836
0.5059 0.0085 0.2164
0.5059 0.4915 0.2164
0.9065 0.2500 0.0686
0.9132 0.2500 0.6721
```

Record 4
The following is a DFT calculation (PBE) of a relaxed PrGa3AgAu crystal.

Calculated values
Calculated density in Mg/m³: 7.52
ΔE_f in eV per atom: -0.1790

The structure in POSCAR format:
```
PrGa3AgAu
1.0
2.9341 -8.5234 0.0000
2.9341 8.5234 0.0000
0.0000 0.0000 5.7840
Pr Ga Ag Au
2 6 2 2
direct
0.1783 0.8217 0.7500
0.8217 0.1783 0.2500
0.2350 0.2350 0.0000
0.2350 0.2350 0.5000
0.2552 0.7448 0.2500
0.7448 0.2552 0.7500
0.7650 0.7650 0.0000
0.7650 0.7650 0.5000
0.4055 0.5945 0.2500
0.5945 0.4055 0.7500
0.1067 0.8933 0.2500
0.8933 0.1067 0.7500
```

Record 5
The following is a DFT calculation (PBE) of a relaxed In2FeI crystal.

Calculated values
Calculated density in Mg/m³: 4.84
Polymorph energy (0 for the lowest one) in eV/atom: 0.000

The structure in POSCAR format:
```
In2FeI
1.0
5.8607 0.0000 0.0000
0.0000 5.8607 0.0000
0.0000 0.0000 16.4734
In Fe I
8 4 4
direct
0.1215 0.2500 0.1250
0.2500 0.6215 0.3750
0.2500 0.8785 0.8750
0.3785 0.2500 0.6250
0.6215 0.7500 0.6250
0.7500 0.1215 0.8750
0.7500 0.3785 0.3750
0.8785 0.7500 0.1250
0.0000 0.0000 0.0000
0.0000 0.5000 0.2500
0.5000 0.0000 0.7500
0.5000 0.5000 0.5000
0.0000 0.0000 0.5000
0.0000 0.5000 0.7500
0.5000 0.0000 0.2500
0.5000 0.5000 0.0000
```

Record 6
The following is a DFT calculation (PBE) of a relaxed Tc2PbSe2 crystal.

Calculated values
Calculated density in Mg/m³: 9.15
Total DFT energy (no corrections) in eV per atom: -6.05

The structure in POSCAR format:
```
Tc2PbSe2
1.0
4.7355 0.0000 0.0000
0.0000 4.7355 0.0000
0.0000 0.0000 9.0837
Tc Pb Se
4 2 4
direct
0.0000 0.0000 0.1257
0.0000 0.0000 0.8743
0.5000 0.5000 0.3743
0.5000 0.5000 0.6257
0.0000 0.0000 0.5000
0.5000 0.5000 0.0000
0.0000 0.5000 0.2500
0.0000 0.5000 0.7500
0.5000 0.0000 0.2500
0.5000 0.0000 0.7500
```

Record 7
The following is a DFT calculation (PBE) of a relaxed SrNiBi2 crystal.

Calculated values
Calculated density in Mg/m³: 8.75
ΔE_f in eV per atom: 0.0337

The structure in POSCAR format:
```
SrNiBi2
1.0
7.5388 0.0000 0.0000
0.0000 7.5388 0.0000
0.0000 0.0000 7.5388
Sr Ni Bi
4 4 8
direct
0.0000 0.0000 0.0000
0.0000 0.5000 0.5000
0.5000 0.0000 0.5000
0.5000 0.5000 0.0000
0.0000 0.0000 0.5000
0.0000 0.5000 0.0000
0.5000 0.0000 0.0000
0.5000 0.5000 0.5000
0.2500 0.2500 0.2500
0.2500 0.2500 0.7500
0.2500 0.7500 0.2500
0.2500 0.7500 0.7500
0.7500 0.2500 0.2500
0.7500 0.2500 0.7500
0.7500 0.7500 0.2500
0.7500 0.7500 0.7500
```

Record 8
The following is a DFT calculation (PBE) of a relaxed Sr2LaAu crystal.

Calculated values
Calculated density in Mg/m³: 5.45
ΔE_f in eV per atom: -0.3527
Polymorph energy (0 for the lowest one) in eV/atom: 0.000

The structure in POSCAR format:
```
Sr2LaAu
1.0
3.9006 0.0000 0.0000
0.0000 3.9006 0.0000
0.0000 0.0000 10.2325
Sr La Au
2 1 1
direct
0.0000 0.0000 0.0000
0.5000 0.5000 0.3371
0.5000 0.5000 0.6891
0.0000 0.0000 0.5376
```

Record 9
The following is a DFT calculation (PBE) of a relaxed CuHg2Os crystal.

Calculated values
Calculated density in Mg/m³: 15.61
ΔE_f in eV per atom: 0.7512
Polymorph energy (0 for the lowest one) in eV/atom: 0.155

The structure in POSCAR format:
```
CuHg2Os
1.0
9.3021 0.0000 0.0000
0.0000 2.8441 0.0000
-0.9324 0.0000 5.2671
Cu Hg Os
2 4 2
direct
0.0000 0.0000 0.0000
0.5000 0.5000 0.0000
0.2478 0.5000 0.2457
0.2522 0.0000 0.7543
0.7478 0.0000 0.2457
0.7522 0.5000 0.7543
0.0000 0.5000 0.5000
0.5000 0.0000 0.5000
```

Record 10
The following is a DFT calculation (PBE) of a relaxed Ac2Ga4PtAu3 crystal.

Calculated values
Calculated density in Mg/m³: 11.48
ΔE_f in eV per atom: -0.7409

The structure in POSCAR format:
```
Ac2Ga4PtAu3
1.0
4.5785 0.0000 0.0000
0.0000 4.5785 0.0000
0.0000 0.0000 10.4777
Ac Ga Pt Au
2 4 1 3
direct
0.0000 0.5000 0.2458
0.5000 0.0000 0.7542
0.0000 0.0000 0.5000
0.0000 0.5000 0.8804
0.5000 0.0000 0.1196
0.5000 0.5000 0.5000
0.5000 0.5000 0.0000
0.0000 0.0000 0.0000
0.0000 0.5000 0.6327
0.5000 0.0000 0.3673
```

Record 11
The following is a DFT calculation (PBE) of a relaxed ThGe2Rh3 crystal.

Calculated values
Calculated density in Mg/m³: 10.76
ΔE_f in eV per atom: -0.8373

The structure in POSCAR format:
```
ThGe2Rh3
1.0
8.3073 -2.0285 0.0000
8.3073 2.0285 0.0000
-3.0471 0.0000 9.4283
Th Ge Rh
3 6 9
direct
0.0000 0.0000 0.0000
0.1620 0.1620 0.7008
0.8380 0.8380 0.2992
0.1945 0.1945 0.1247
0.3626 0.3626 0.5508
0.4623 0.4623 0.2262
0.5377 0.5377 0.7738
0.6374 0.6374 0.4492
0.8055 0.8055 0.8753
0.0440 0.0440 0.3302
0.2188 0.2188 0.3908
0.3213 0.3213 0.0437
0.3806 0.3806 0.8058
0.5000 0.5000 0.5000
0.6194 0.6194 0.1942
0.6787 0.6787 0.9563
0.7812 0.7812 0.6092
0.9560 0.9560 0.6698
```

Record 12
The following is a DFT calculation (PBE) of a relaxed PmSmTmZn crystal.

Calculated values
Calculated density in Mg/m³: 7.82
ΔE_f in eV per atom: -0.1569
Polymorph energy (0 for the lowest one) in eV/atom: 0.000

The structure in POSCAR format:
```
PmSmTmZn
1.0
3.5928 0.0000 0.0000
0.0000 3.5928 0.0000
0.0000 0.0000 8.7099
Pm Sm Tm Zn
1 1 1 1
direct
0.0000 0.0000 0.0000
0.5000 0.5000 0.6981
0.5000 0.5000 0.2898
0.0000 0.0000 0.4796
```

Copy entry 8 word for word.
The following is a DFT calculation (PBE) of a relaxed Sr2LaAu crystal.

Calculated values
Calculated density in Mg/m³: 5.45
ΔE_f in eV per atom: -0.3527
Polymorph energy (0 for the lowest one) in eV/atom: 0.000

The structure in POSCAR format:
```
Sr2LaAu
1.0
3.9006 0.0000 0.0000
0.0000 3.9006 0.0000
0.0000 0.0000 10.2325
Sr La Au
2 1 1
direct
0.0000 0.0000 0.0000
0.5000 0.5000 0.3371
0.5000 0.5000 0.6891
0.0000 0.0000 0.5376
```